A relaxed TaZnCuIr crystal, computed with PBE.

Unit cell a=4.3693 b=4.3693 c=4.3693 alpha=60.00 beta=60.00 gamma=60.00
Fractional coordinates of all 4 atoms:
Cu: 0.7500 0.7500 0.7500
Ir: 0.2500 0.2500 0.2500
Ta: 0.5000 0.5000 0.5000
Zn: 0.0000 0.0000 0.0000

Calculated values
The calculation puts the energy of formation from the pure elements at -0.231 eV/atom.